No. 1
CaCuAs2: relaxed, PBE-GGA.

```
4
Lattice="4.319 0.000 0.000 0.000 4.701 0.000 -0.191 0.000 4.454" Properties=species:S:1:pos:R:3 pbc="T T T"
Ca 0.000 0.000 0.000
Cu 1.461 2.350 2.930
As 2.090 0.000 2.144
As 2.282 2.350 0.706
```

Output
The space group is No. 6. Its formation energy from the elements is -0.389 eV/atom. As for the crystal system: monoclinic.

---

No. 2
CaCuAs: relaxed, PBE-GGA.

```
6
Lattice="2.071 -5.211 0.000 2.071 5.211 0.000 0.000 0.000 6.072" Properties=species:S:1:pos:R:3 pbc="T T T"
Ca 2.071 4.301 3.036
Ca 2.071 -4.301 0.000
Cu 2.071 3.065 0.094
Cu 2.071 -3.065 3.130
As 2.071 1.456 2.046
As 2.071 -1.456 5.082
```

Output
The space group is No. 36. Its formation energy from the elements is -0.600 eV/atom. As for the crystal system: orthorhombic.

---

No. 3
CaCuAs: relaxed, PBE-GGA.

```
12
Lattice="5.960 0.000 0.000 0.000 4.338 0.000 0.000 0.000 10.667" Properties=species:S:1:pos:R:3 pbc="T T T"
Ca 1.436 1.084 1.148
Ca 1.543 3.253 6.482
Ca 4.416 1.084 4.185
Ca 4.523 3.253 9.519
Cu 1.148 1.084 8.819
Cu 1.832 3.253 3.486
Cu 4.128 1.084 7.182
Cu 4.811 3.253 1.848
As 1.433 1.084 4.224
As 1.546 3.253 9.558
As 4.413 1.084 1.109
As 4.526 3.253 6.443
```

Output
The space group is No. 62. Its formation energy from the elements is -0.578 eV/atom. As for the crystal system: orthorhombic.

---

No. 4
CaCu6As4: relaxed, PBE-GGA.

```
11
Lattice="-3.216 3.216 4.535 3.216 -3.216 4.535 3.216 3.216 -4.535" Properties=species:S:1:pos:R:3 pbc="T T T"
Ca 0.000 0.000 0.000
Cu 3.216 0.000 0.000
Cu 2.237 2.237 -1.045
Cu 0.979 -0.979 5.580
Cu 0.000 3.216 0.000
Cu 0.979 0.979 3.491
Cu -0.979 0.979 5.580
As 1.413 -1.413 3.154
As 1.803 1.803 1.381
As -1.413 1.413 3.154
As 1.413 1.413 5.916
```

Output
The space group is No. 121. Its formation energy from the elements is -0.122 eV/atom. As for the crystal system: tetragonal.

---

No. 5
CaCuAs: relaxed, PBE-GGA.

```
6
Lattice="2.871 -2.871 0.000 2.871 2.871 0.000 -2.860 0.000 7.280" Properties=species:S:1:pos:R:3 pbc="T T T"
Ca 0.000 0.000 2.387
Ca 2.881 0.000 4.894
Cu 1.435 1.436 0.000
Cu 1.435 -1.436 0.000
As 0.011 0.000 5.588
As 2.870 0.000 1.692
```

Output
The space group is No. 12. Its formation energy from the elements is -0.596 eV/atom. As for the crystal system: monoclinic.

---

No. 6
CaCuAs2: relaxed, PBE-GGA.

```
4
Lattice="-1.820 2.250 4.823 1.820 -2.250 4.823 1.820 2.250 -4.823" Properties=species:S:1:pos:R:3 pbc="T T T"
Ca 0.000 0.000 0.000
Cu 0.000 2.250 2.045
As 1.820 0.000 2.692
As 0.000 0.000 4.878
```

Output
The space group is No. 44. Its formation energy from the elements is -0.255 eV/atom. As for the crystal system: orthorhombic.

---

No. 7
CaCuAs2: relaxed, PBE-GGA.

```
8
Lattice="-2.425 2.425 8.017 2.425 -2.425 8.017 2.425 2.425 -8.017" Properties=species:S:1:pos:R:3 pbc="T T T"
Ca 0.000 0.000 0.000
Ca 0.000 2.425 4.008
Cu 2.425 0.000 4.008
Cu 0.000 0.000 8.017
As 1.213 -0.567 6.013
As 1.858 1.213 2.004
As 1.213 2.992 -2.004
As 0.567 1.213 10.021
```

Output
The space group is No. 122. Its formation energy from the elements is -0.409 eV/atom. As for the crystal system: tetragonal.

---

No. 8
CaCuAs: relaxed, PBE-GGA.

```
6
Lattice="4.083 0.000 0.000 2.019 5.465 0.000 0.009 1.084 5.779" Properties=species:S:1:pos:R:3 pbc="T T T"
Ca 1.016 1.924 1.843
Ca 5.095 4.625 3.937
Cu 1.029 1.351 5.127
Cu 5.082 5.198 0.653
As 3.041 4.301 1.541
As 3.070 2.248 4.238
```

Output
The space group is No. 2. Its formation energy from the elements is -0.611 eV/atom. As for the crystal system: triclinic.

---

No. 9
CaFeCuAs2: relaxed, PBE-GGA.

```
5
Lattice="-2.010 2.010 5.546 2.010 -2.010 5.546 2.010 2.010 -5.546" Properties=species:S:1:pos:R:3 pbc="T T T"
Ca 0.000 0.000 0.000
Fe 0.000 2.010 2.773
Cu 2.010 0.000 2.773
As 0.000 0.000 4.121
As 0.000 0.000 6.971
```

Output
The space group is No. 119. Its formation energy from the elements is -0.456 eV/atom. As for the crystal system: tetragonal.

---

No. 10
Ca2Cu4GeAs3: relaxed, PBE-GGA.

```
10
Lattice="4.121 0.000 0.000 0.000 4.121 0.000 0.000 0.000 10.535" Properties=species:S:1:pos:R:3 pbc="T T T"
Ca 0.000 2.061 2.518
Ca 2.061 0.000 8.017
Cu 0.000 0.000 0.000
Cu 0.000 2.061 6.723
Cu 2.061 0.000 3.812
Cu 2.061 2.061 0.000
Ge 0.000 0.000 5.268
As 0.000 2.061 9.113
As 2.061 0.000 1.422
As 2.061 2.061 5.268
```

Output
The space group is No. 115. Its formation energy from the elements is -0.500 eV/atom. As for the crystal system: tetragonal.

---

No. 11
Ca2CuAsH: relaxed, PBE-GGA.

```
5
Lattice="4.835 0.000 0.000 0.000 4.835 0.000 0.000 0.000 3.886" Properties=species:S:1:pos:R:3 pbc="T T T"
Ca 0.000 2.417 0.000
Ca 2.417 0.000 0.000
Cu 0.000 0.000 1.943
As 2.417 2.417 1.943
H 0.000 0.000 0.000
```

Output
The space group is No. 123. As for the crystal system: tetragonal.

---

No. 12
Ca2CuAs2H4O10: relaxed, PBE-GGA.

```
38
Lattice="6.004 0.000 0.000 0.000 12.937 0.000 -2.117 0.000 5.493" Properties=species:S:1:pos:R:3 pbc="T T T"
Ca -0.018 1.588 1.130
Ca -1.077 4.880 3.876
Ca 4.964 8.057 1.617
Ca 3.906 11.349 4.363
Cu 3.002 0.000 0.000
Cu 1.944 6.469 2.747
As -0.446 8.058 5.286
As 0.613 11.348 2.539
As 3.274 1.589 2.954
As 4.333 4.879 0.207
H -0.404 1.863 4.296
H 0.654 4.606 1.549
H 0.421 2.650 5.392
H 1.480 3.818 2.646
H 2.407 9.119 2.847
H 3.466 10.287 0.101
H 3.233 8.332 3.944
H 4.292 11.074 1.197
O -1.805 9.132 5.221
O -0.746 10.274 2.475
O -0.342 7.162 3.823
O 0.717 12.244 1.076
O 1.115 7.002 1.073
O 0.057 12.404 3.819
O -0.062 1.752 5.230
O 0.997 4.717 2.484
O 1.778 2.315 2.580
O 0.719 4.153 5.327
O 3.168 8.784 0.166
O 2.109 10.622 2.913
O 2.891 8.221 3.009
O 3.949 11.185 0.263
O 3.830 0.533 1.674
O 2.772 5.935 4.420
O 3.170 0.693 4.417
O 4.229 5.775 1.670
O 4.633 2.663 3.018
O 5.692 3.805 0.272
```

Output
The space group is No. 14. As for the crystal system: monoclinic.

---

No. 13
Ca2CuAs4Ir3: relaxed, PBE-GGA.

```
10
Lattice="4.307 0.000 0.000 0.000 4.307 0.000 0.000 0.000 10.039" Properties=species:S:1:pos:R:3 pbc="T T T"
Ca 0.000 2.153 2.500
Ca 2.153 0.000 7.539
Cu 2.153 2.153 0.000
As 0.000 0.000 5.020
As 0.000 2.153 8.699
As 2.153 0.000 1.340
As 2.153 2.153 5.020
Ir 0.000 0.000 0.000
Ir 0.000 2.153 6.252
Ir 2.153 0.000 3.787
```

Output
The space group is No. 115. Its formation energy from the elements is -0.524 eV/atom. As for the crystal system: tetragonal.

---

No. 14
Ca2Cu3As4Ir: relaxed, PBE-GGA.

```
10
Lattice="4.284 0.000 0.000 0.000 4.284 0.000 0.000 0.000 9.953" Properties=species:S:1:pos:R:3 pbc="T T T"
Ca 0.000 2.142 2.482
Ca 2.142 0.000 7.471
Cu 0.000 2.142 8.683
Cu 2.142 0.000 1.270
Cu 2.142 2.142 4.976
As 0.000 0.000 0.000
As 0.000 2.142 6.292
As 2.142 0.000 3.661
As 2.142 2.142 0.000
Ir 0.000 0.000 4.976
```

Output
The space group is No. 115. Its formation energy from the elements is -0.470 eV/atom. As for the crystal system: tetragonal.

---

No. 15
LiCaCuAs2: relaxed, PBE-GGA.

```
5
Lattice="4.594 0.000 0.000 0.000 4.594 0.000 0.000 0.000 4.794" Properties=species:S:1:pos:R:3 pbc="T T T"
Li 0.000 0.000 0.000
Ca 0.000 0.000 2.397
Cu 2.297 2.297 2.397
As 0.000 2.297 0.000
As 2.297 0.000 0.000
```

Output
The space group is No. 123. Its formation energy from the elements is 0.169 eV/atom. As for the crystal system: tetragonal.

---

No. 16
Ca2MnCu3As4: relaxed, PBE-GGA.

```
10
Lattice="4.268 0.000 0.000 0.000 4.268 0.000 0.000 0.000 10.176" Properties=species:S:1:pos:R:3 pbc="T T T"
Ca 0.000 2.134 2.439
Ca 2.134 0.000 7.738
Mn 0.000 0.000 5.088
Cu 0.000 2.134 8.875
Cu 2.134 0.000 1.301
Cu 2.134 2.134 5.088
As 0.000 0.000 0.000
As 0.000 2.134 6.478
As 2.134 0.000 3.699
As 2.134 2.134 0.000
```

Output
The space group is No. 115. Its formation energy from the elements is -0.496 eV/atom. As for the crystal system: tetragonal.

---

No. 17
CaMnCuAs2: relaxed, PBE-GGA.

```
5
Lattice="4.776 0.000 0.000 0.000 4.776 0.000 0.000 0.000 4.970" Properties=species:S:1:pos:R:3 pbc="T T T"
Ca 0.000 0.000 0.000
Mn 2.388 2.388 0.000
Cu 0.000 0.000 2.485
As 0.000 2.388 2.485
As 2.388 0.000 2.485
```

Output
The space group is No. 123. Its formation energy from the elements is 0.399 eV/atom. As for the crystal system: tetragonal.

---

No. 18
Na2CaCu2As2: relaxed, PBE-GGA.

```
7
Lattice="2.144 1.238 8.929 -2.144 1.238 8.929 0.000 -2.476 8.929" Properties=species:S:1:pos:R:3 pbc="T T T"
Na 0.000 0.000 3.579
Na 0.000 0.000 23.209
Ca 0.000 0.000 0.000
Cu 0.000 0.000 10.880
Cu 0.000 0.000 15.908
As 0.000 0.000 6.964
As 0.000 0.000 19.824
```

Output
The space group is No. 166. Its formation energy from the elements is -0.500 eV/atom. As for the crystal system: trigonal.

---

No. 19
NaCaCu2As: relaxed, PBE-GGA.

```
5
Lattice="4.716 0.000 0.000 0.000 4.716 0.000 0.000 0.000 5.219" Properties=species:S:1:pos:R:3 pbc="T T T"
Na 0.000 0.000 0.000
Ca 2.358 2.358 0.000
Cu 0.000 2.358 2.609
Cu 2.358 0.000 2.609
As 0.000 0.000 2.609
```

Output
The space group is No. 123. Its formation energy from the elements is 0.118 eV/atom. As for the crystal system: tetragonal.

---

No. 20
NaCa2Cu3As4: relaxed, PBE-GGA.

```
10
Lattice="4.236 0.000 0.000 0.000 4.236 0.000 0.000 0.000 10.853" Properties=species:S:1:pos:R:3 pbc="T T T"
Na 0.000 0.000 0.000
Ca 0.000 2.118 8.075
Ca 2.118 0.000 2.778
Cu 0.000 2.118 4.049
Cu 2.118 0.000 6.804
Cu 2.118 2.118 0.000
As 0.000 0.000 5.426
As 0.000 2.118 1.669
As 2.118 0.000 9.184
As 2.118 2.118 5.426
```

Output
The space group is No. 115. Its formation energy from the elements is -0.474 eV/atom. As for the crystal system: tetragonal.

---

We obtain E values of -4.2386, -4.1821, -4.1600, -4.2287, -4.1784, -4.1046, -4.2582, -4.1930, -5.2282, -4.3950, -3.7778, -5.8187, -5.8517, -4.8451, -3.2930, -4.9024, -4.5141, -3.6616, -3.1142, -4.0945 eV/atom for the records listed above, in that order.